LaErH2 | PBE | relaxed

abc: 3.562 3.562 6.211
angles: 73.33 73.33 60.00
Element x y z (fractional)
H 0.741 0.741 0.777
Er 0.000 0.000 0.000
La 0.500 0.500 0.500
H 0.259 0.259 0.223

Summary:
distance to the lowest polymorph of the same formula = 0.00 eV per formula unit
uncorrected energy = -17.69 eV for the cell shown
space-group type = R-3m (166)

=====

LaNd2ErH | PBE | relaxed

abc: 5.087 5.162 5.162
angles: 90.00 90.00 90.00
Element x y z (fractional)
H 0.000 0.000 0.000
La 0.500 0.500 0.500
Nd 0.000 0.500 0.000
Nd 0.000 0.000 0.500
Er 0.500 0.000 0.000

Summary:
uncorrected energy = -23.23 eV for the cell shown
space-group type = P4/mmm (123)

=====

La2NdErH | PBE | relaxed

abc: 5.089 5.215 5.215
angles: 90.00 90.00 90.00
Element x y z (fractional)
Er 0.500 0.000 0.000
La 0.000 0.500 0.000
La 0.000 0.000 0.500
H 0.000 0.000 0.000
Nd 0.500 0.500 0.500

Summary:
uncorrected energy = -23.41 eV for the cell shown
space-group type = P4/mmm (123)